Version one
Compound: Nd6NiAg2
Source: Alexandria via LeMat-Bulk
Functional: PBE
Structure: relaxed

Cell and atoms, written as POSCAR:
```
Nd6NiAg2
1.0
-8.1581 2.8051 -1.5043
1.3796 -7.8362 -3.6574
-5.7881 -5.5468 3.5239
Nd Ag Ni
12 4 2
Direct
0.8332 0.2526 0.9142
0.9169 0.7337 0.8168
0.1668 0.7474 0.0858
0.0831 0.2663 0.1832
0.3323 0.6088 0.7235
0.3323 0.0558 0.2765
0.4495 0.2663 0.8168
0.5505 0.7337 0.1832
0.6677 0.3912 0.2765
0.6677 0.9442 0.7235
0.8332 0.7474 0.4195
0.1668 0.2526 0.5805
0.8633 0.3633 0.5000
0.3539 0.0000 0.6461
0.1367 0.6367 0.5000
0.6461 0.0000 0.3539
0.5000 0.5000 0.0000
0.0000 0.0000 0.0000
```



Version two
Compound: Nd6NiAg2
Source: Alexandria via LeMat-Bulk
Functional: PBE
Structure: relaxed

Cell and atoms, written as POSCAR:
```
Nd6NiAg2
1.0
-2.7404 -3.4921 -4.6931
-3.9218 -4.2143 5.4260
-7.7567 7.0752 -0.1112
Ni Nd Ag
2 12 4
Direct
0.0000 0.0000 0.5000
0.5000 0.5000 0.0000
0.8485 0.6695 0.5516
0.8412 0.6999 0.9481
0.6314 0.4662 0.2518
0.3412 0.8001 0.4481
0.3485 0.8305 0.0516
0.8686 0.9662 0.2482
0.1515 0.3305 0.4484
0.1314 0.0338 0.7518
0.6515 0.1695 0.9484
0.1588 0.3001 0.0519
0.3686 0.5338 0.7482
0.6588 0.1999 0.5519
0.9170 0.3930 0.7665
0.0830 0.6070 0.2335
0.4170 0.1070 0.2665
0.5830 0.8930 0.7335
```



Best to worst by energy: version two, version one.